# 1
VASP calculation (GGA-PBEsol) on BaSr2Ca after structural relaxation.

As for the relative energy among the computed polymorphs: 4 meV per atom. As for the energy of formation from the pure elements: 7 kJ/mol of formula units.

The space group is Cmm2 (No. 35) and the conventional cell measures 4.752, 6.475 and 12.916 Å, with angles of 90.00, 90.00 and 90.00 degrees. Symmetry generates all atoms from Ba at (0.000, 0.000, 0.000), Sr at (0.000, 0.000, 0.516), Sr at (0.000, 0.500, 0.261) and Ca at (0.000, 0.500, 0.755).

# 2
VASP calculation (GGA-PBEsol) on ZrInBr2 after structural relaxation.

As for the relative energy among the computed polymorphs: 132 meV per atom. The value obtained for the uncorrected formation energy is -0.695 eV per atom.

The space group is C2/m (No. 12) and the conventional cell measures 12.948, 3.239 and 5.454 Å, with angles of 90.00, 106.14 and 90.00 degrees. Symmetry generates all atoms from Zr at (0.000, 0.000, 0.000), In at (0.000, 0.500, 0.500) and Br at (0.172, 0.500, 0.197).

# 3
VASP calculation (GGA-PBEsol) on TaTeN2 after structural relaxation.

The value obtained for the uncorrected formation energy is 0.632 eV per atom.

The space group is R-3m (No. 166, hexagonal axes) and the conventional cell measures 3.2810, 3.2810 and 19.3660 Å, with angles of 90.00, 90.00 and 120.00 degrees. Symmetry generates all atoms from Ta at (0.0000, 0.0000, 0.0000), Te at (0.0000, 0.0000, 0.5000) and N at (0.0000, 0.0000, 0.1042).

# 4
VASP calculation (GGA-PBEsol) on Zn2AsSe after structural relaxation.

The value obtained for the uncorrected formation energy is -0.228 eV per atom.

The space group is I-42d (No. 122) and the conventional cell measures 5.689, 5.689 and 10.935 Å, with angles of 90.00, 90.00 and 90.00 degrees. Symmetry generates all atoms from Zn at (0.246, 0.250, 0.125), As at (0.000, 0.000, 0.000) and Se at (0.000, 0.000, 0.500).